No. 1
Density functional theory data (meta-GGA SCAN) for a crystal of BaRh2Se relaxed with PBEsol.

extended XYZ file:
```
4
Lattice="-2.020 2.020 4.816 2.020 -2.020 4.816 2.020 2.020 -4.816" Properties=species:S:1:pos:R:3 pbc="T T T"
Ba 0.000 0.000 0.000
Rh 0.000 0.000 4.816
Rh 0.000 2.020 2.408
Se 2.020 0.000 2.408
```

Output
The value obtained for the total energy is -31.618 eV per atom.



No. 2
Density functional theory data (meta-GGA SCAN) for a crystal of NaLa2ZnB relaxed with PBEsol.

extended XYZ file:
```
5
Lattice="5.513 0.000 0.000 0.000 5.513 0.000 0.000 0.000 4.845" Properties=species:S:1:pos:R:3 pbc="T T T"
Na 0.000 0.000 0.000
La 0.000 2.756 2.423
La 2.756 0.000 2.423
Zn 0.000 0.000 2.423
B 2.756 2.756 0.000
```

Output
Its calculated formation energy is 0.9286 eV/atom. The value obtained for the total energy is -21.345 eV per atom.



No. 3
Density functional theory data (meta-GGA SCAN) for a crystal of LaTe relaxed with PBEsol.

extended XYZ file:
```
4
Lattice="-2.077 2.443 6.170 2.077 -2.443 6.170 2.077 2.443 -6.170" Properties=species:S:1:pos:R:3 pbc="T T T"
La 0.000 1.222 1.388
La 2.077 1.222 4.782
Te 2.077 1.222 -1.438
Te 0.000 1.222 7.608
```

Output
The value obtained for the total energy is -41.537 eV per atom.



No. 4
Density functional theory data (meta-GGA SCAN) for a crystal of Sc2InOs relaxed with PBEsol.

extended XYZ file:
```
4
Lattice="0.000 3.294 3.294 3.294 0.000 3.294 3.294 3.294 0.000" Properties=species:S:1:pos:R:3 pbc="T T T"
Sc 0.000 0.000 0.000
Sc 1.647 1.647 1.647
In 4.941 4.941 4.941
Os 3.294 3.294 3.294
```

Output
Its calculated formation energy is -0.3561 eV/atom. The value obtained for the total energy is -33.791 eV per atom.



No. 5
Density functional theory data (meta-GGA SCAN) for a crystal of Mn12Co17 relaxed with PBEsol.

extended XYZ file:
```
29
Lattice="-4.195 4.195 4.195 4.195 -4.195 4.195 4.195 4.195 -4.195" Properties=species:S:1:pos:R:3 pbc="T T T"
Mn 2.355 0.756 -0.756
Mn 2.355 -0.756 0.756
Mn 6.034 0.756 0.756
Mn 0.756 2.355 -0.756
Mn 0.756 -0.756 2.355
Mn -0.756 2.355 0.756
Mn -0.756 0.756 2.355
Mn 3.438 3.438 1.840
Mn 3.438 1.840 3.438
Mn 0.756 6.034 0.756
Mn 0.756 0.756 6.034
Mn 1.840 3.438 3.438
Co 0.000 0.000 0.000
Co 2.744 2.744 -2.744
Co 4.482 1.226 -1.226
Co 2.744 -2.744 2.744
Co 4.482 -1.226 1.226
Co 3.907 1.226 1.226
Co 2.968 2.968 -0.287
Co 2.968 -0.287 2.968
Co 1.450 1.450 1.450
Co 1.226 4.482 -1.226
Co 1.226 -1.226 4.482
Co 1.226 3.907 1.226
Co 1.226 1.226 3.907
Co -2.744 2.744 2.744
Co -1.226 4.482 1.226
Co -1.226 1.226 4.482
Co -0.287 2.968 2.968
```

Output
Its calculated formation energy is 0.2550 eV/atom. The value obtained for the total energy is -17.443 eV per atom.



No. 6
Density functional theory data (meta-GGA SCAN) for a crystal of GdB3O6 relaxed with PBEsol.

extended XYZ file:
```
20
Lattice="4.819 -4.003 0.000 4.819 4.003 0.000 -3.643 0.000 5.030" Properties=species:S:1:pos:R:3 pbc="T T T"
Gd 2.087 2.399 3.773
Gd 3.908 -2.399 1.258
B -0.663 0.511 4.585
B 3.908 2.250 1.258
B 1.158 -0.511 2.070
B 4.837 0.511 2.960
B 2.087 -2.250 3.773
B 6.658 -0.511 0.445
O 2.739 3.137 1.477
O 1.089 0.750 2.502
O 3.829 1.505 0.018
O 5.077 3.137 1.038
O -0.732 -0.750 5.017
O 3.988 1.505 2.497
O 2.007 -1.505 2.534
O 6.727 0.750 0.013
O 0.917 -3.137 3.992
O 2.166 -1.505 5.012
O 4.906 -0.750 2.528
O 3.256 -3.137 3.553
```

Output
The value obtained for the total energy is -14.825 eV per atom.



No. 7
Density functional theory data (meta-GGA SCAN) for a crystal of KNi3Au relaxed with PBEsol.

extended XYZ file:
```
5
Lattice="4.739 0.000 0.000 0.000 4.739 0.000 0.000 0.000 4.739" Properties=species:S:1:pos:R:3 pbc="T T T"
K 0.000 0.000 0.000
Ni 0.000 2.370 2.370
Ni 2.370 0.000 2.370
Ni 2.370 2.370 0.000
Au 2.370 2.370 2.370
```

Output
Its calculated formation energy is 0.8604 eV/atom. The value obtained for the total energy is -24.341 eV per atom.



No. 8
Density functional theory data (meta-GGA SCAN) for a crystal of ZnTe4Br relaxed with PBEsol.

extended XYZ file:
```
6
Lattice="0.000 4.398 4.398 4.398 0.000 4.398 4.398 4.398 0.000" Properties=species:S:1:pos:R:3 pbc="T T T"
Zn 0.000 0.000 0.000
Te 5.506 3.289 3.289
Te 3.289 5.506 3.289
Te 3.289 3.289 5.506
Te 5.506 5.506 5.506
Br 2.199 2.199 2.199
```

Output
The value obtained for the total energy is -29.993 eV per atom.



No. 9
Density functional theory data (meta-GGA SCAN) for a crystal of TiCd2Pd relaxed with PBEsol.

extended XYZ file:
```
4
Lattice="0.000 3.236 3.236 3.236 0.000 3.236 3.236 3.236 0.000" Properties=species:S:1:pos:R:3 pbc="T T T"
Ti 0.000 0.000 0.000
Cd 1.618 1.618 1.618
Cd 4.855 4.855 4.855
Pd 3.236 3.236 3.236
```

Output
Its calculated formation energy is -0.1759 eV/atom. The value obtained for the total energy is -27.584 eV per atom.



No. 10
Density functional theory data (meta-GGA SCAN) for a crystal of CaBeTl2 relaxed with PBEsol.

extended XYZ file:
```
4
Lattice="2.173 1.254 5.704 -2.173 1.254 5.704 0.000 -2.509 5.704" Properties=species:S:1:pos:R:3 pbc="T T T"
Ca 0.000 0.000 0.000
Be 0.000 0.000 8.555
Tl 0.000 0.000 3.802
Tl 0.000 0.000 13.309
```

Output
Its calculated formation energy is -0.1199 eV/atom. The value obtained for the total energy is -39.803 eV per atom.



No. 11
Density functional theory data (meta-GGA SCAN) for a crystal of Zn2CoOs relaxed with PBEsol.

extended XYZ file:
```
4
Lattice="2.912 0.000 0.000 0.000 2.912 0.000 0.000 0.000 5.854" Properties=species:S:1:pos:R:3 pbc="T T T"
Zn 0.000 0.000 1.349
Zn 0.000 0.000 4.505
Co 1.456 1.456 0.000
Os 1.456 1.456 2.927
```

Output
Its calculated formation energy is 0.2439 eV/atom. The value obtained for the total energy is -28.810 eV per atom.



No. 12
Density functional theory data (meta-GGA SCAN) for a crystal of ZrTe2RuN relaxed with PBEsol.

extended XYZ file:
```
5
Lattice="5.321 0.000 0.000 0.000 5.321 0.000 0.000 0.000 3.634" Properties=species:S:1:pos:R:3 pbc="T T T"
Zr 0.000 0.000 0.000
Te 0.000 2.660 1.817
Te 2.660 0.000 1.817
Ru 2.660 2.660 1.817
N 2.660 2.660 0.000
```

Output
The value obtained for the total energy is -29.786 eV per atom.